Material: HoTm3Lu2Sb2Os
Method: DFT, PBE-GGA
State: relaxed

Structure (POSCAR):
```
HoTm3Lu2Sb2Os
1.0
-1.1244 -3.2485 2.3741
4.5587 -4.8768 -4.5138
3.1866 3.6166 6.4579
Ho Lu Os Sb Tm
1 2 1 2 3
direct
0.0000 0.6094 0.6094
0.0000 0.9990 0.3866
0.0000 0.3866 0.9990
0.0000 0.0048 0.0048
0.5000 0.6663 0.3318
0.5000 0.3318 0.6663
0.5000 0.7632 0.0001
0.5000 0.2388 0.2388
0.5000 0.0001 0.7632
```

Its space-group type is No. 38. Its final energy is -5.84 eV/atom. The total magnetization comes out at 0.02 μB per formula unit.



Material: Y2Ho3LuSb2Os
Method: DFT, PBE-GGA
State: relaxed

Structure (POSCAR):
```
Y2Ho3LuSb2Os
1.0
-1.4804 3.0600 -2.4607
-4.8131 -5.3886 -3.8052
-2.6866 4.0012 6.5921
Ho Lu Os Sb Y
3 1 1 2 2
direct
0.5000 0.2383 0.0000
0.5000 0.0000 0.2383
0.5000 0.7648 0.7648
0.0000 0.3870 0.3870
0.0000 0.0092 0.0092
0.5000 0.6648 0.3329
0.5000 0.3329 0.6648
0.0000 0.9987 0.6043
0.0000 0.6043 0.9987
```

Its space-group type is No. 38. Its final energy is -6.30 eV/atom. The total magnetization comes out at 0.02 μB per formula unit.



Material: Ho2Lu3ScTe2Os
Method: DFT, PBE-GGA
State: relaxed

Structure (POSCAR):
```
Ho2Lu3ScTe2Os
1.0
3.9856 0.0000 0.0000
0.0000 7.0264 4.0588
0.0000 -7.0264 4.0588
Ho Lu Os Sc Te
2 3 1 1 2
direct
0.0000 0.9997 0.3874
0.0000 0.3874 0.9997
0.5000 0.2389 0.2389
0.5000 0.9955 0.7597
0.5000 0.7597 0.9955
0.0000 0.9983 0.9983
0.0000 0.6172 0.6172
0.5000 0.6655 0.3377
0.5000 0.3377 0.6655
```

Its space-group type is No. 38. Its final energy is -5.88 eV/atom. The total magnetization comes out at 0.00 μB per formula unit.



Material: Ho3Lu3Te2Os
Method: DFT, PBE-GGA
State: relaxed

Structure (POSCAR):
```
Ho3Lu3Te2Os
1.0
-1.2246 -6.1632 5.2776
7.4330 1.1880 -3.2674
0.9550 2.4260 3.0547
Ho Lu Os Te
3 3 1 2
direct
0.2427 0.0000 0.5000
0.0000 0.2427 0.5000
0.7573 0.7573 0.5000
0.6168 0.0000 0.0000
0.3832 0.3832 0.0000
0.0000 0.6168 0.0000
0.0000 0.0000 0.0000
0.6667 0.3333 0.5000
0.3333 0.6667 0.5000
```

Its space-group type is No. 189. Its final energy is -5.65 eV/atom. For the distance to the lowest polymorph of the same formula, the calculation gives 70 meV/atom. The total magnetization comes out at 0.02 μB per formula unit.



Material: Ho3Lu3Te2Os
Method: DFT, PBE-GGA
State: relaxed

Structure (POSCAR):
```
Ho3Lu3Te2Os
1.0
8.1620 0.0000 0.0000
-4.0810 7.0685 0.0000
0.0000 0.0000 4.0406
Ho Lu Os Te
3 3 1 2
direct
0.6122 0.0000 0.0000
0.3878 0.3878 0.0000
0.0000 0.6122 0.0000
0.2363 0.0000 0.5000
0.0000 0.2363 0.5000
0.7637 0.7637 0.5000
0.0000 0.0000 0.0000
0.6667 0.3333 0.5000
0.3333 0.6667 0.5000
```

Its space-group type is No. 189. Its final energy is -5.72 eV/atom. For the distance to the lowest polymorph of the same formula, the calculation gives 0 meV/atom. The total magnetization comes out at 0.00 μB per formula unit.



Material: HoTm2Lu3Te2Os
Method: DFT, PBE-GGA
State: relaxed

Structure (POSCAR):
```
HoTm2Lu3Te2Os
1.0
4.0250 0.0000 0.0000
0.0000 7.0276 4.0879
0.0000 -7.0276 4.0879
Ho Lu Os Te Tm
1 3 1 2 2
direct
0.0000 0.6124 0.6124
0.5000 0.2375 0.2375
0.5000 0.9996 0.7630
0.5000 0.7630 0.9996
0.0000 0.0033 0.0033
0.5000 0.6664 0.3331
0.5000 0.3331 0.6664
0.0000 0.3846 0.0000
0.0000 0.0000 0.3846
```

Its space-group type is No. 38. Its final energy is -5.68 eV/atom. The total magnetization comes out at 0.02 μB per formula unit.



Number 1: density 10.26 g/cm³. Number 2: density 8.81 g/cm³. Number 3: density 9.83 g/cm³. Number 4: density 10.39 g/cm³. Number 5: density 10.44 g/cm³. Number 6: density 10.58 g/cm³.